Pm2MnF11: relaxed, GGA+U. Values from VASP.

Space-group type: No. 72
Size of the total moment in μB per formula unit: 5.9
Energy in eV/atom: -5.545
Calculated density in g cm⁻³: 3.97

Cell and atoms, written as Quantum ESPRESSO input:
```
&SYSTEM
  ibrav = 0, nat = 28, ntyp = 3
/
ATOMIC_SPECIES
Pm 145.00 Pm.upf
Mn 54.94 Mn.upf
F 19.00 F.upf
CELL_PARAMETERS angstrom
-4.331 5.092 5.250
4.331 -5.092 5.250
4.331 5.092 -5.250
ATOMIC_POSITIONS crystal
Pm 0.195 0.105 0.300
Pm 0.305 0.605 0.910
Pm 0.695 0.395 0.090
Pm 0.805 0.895 0.700
Mn 0.250 0.750 0.500
Mn 0.750 0.250 0.500
F 0.000 0.000 0.000
F 0.001 0.588 0.327
F 0.106 0.966 0.692
F 0.223 0.842 0.064
F 0.227 0.534 0.140
F 0.239 0.912 0.413
F 0.261 0.674 0.673
F 0.273 0.413 0.308
F 0.277 0.342 0.619
F 0.394 0.087 0.860
F 0.499 0.826 0.587
F 0.500 0.500 0.000
F 0.501 0.174 0.413
F 0.606 0.913 0.140
F 0.723 0.658 0.381
F 0.727 0.587 0.692
F 0.739 0.326 0.327
F 0.761 0.088 0.587
F 0.773 0.466 0.860
F 0.777 0.158 0.936
F 0.894 0.034 0.308
F 0.999 0.412 0.673
```